# 1
A relaxed Ba2Tl6Pd crystal, computed with GGA-PBE.

Results
Its polymorph energy (0 for the lowest one) is 0.0 kJ/mol of atoms.

The structure in CIF format:
```
data_Ba2Tl6Pd
_chemical_formula_sum 'Ba4 Tl12 Pd2'
_symmetry_space_group_name_H-M 'C 1 2/m 1'
_symmetry_Int_Tables_number 12
_symmetry_space_group_name_Hall '-C 2y'
_cell_length_a 12.596
_cell_length_b 7.242
_cell_length_c 6.156
_cell_angle_alpha 90.00
_cell_angle_beta 90.04
_cell_angle_gamma 90.00
loop_
_atom_site_label
_atom_site_type_symbol
_atom_site_fract_x
_atom_site_fract_y
_atom_site_fract_z
Ba1 Ba 0.167 0.000 0.210
Tl1 Tl 0.085 0.244 0.703
Tl2 Tl 0.170 0.500 0.298
Pd1 Pd 0.000 0.500 0.000
```

---

# 2
A relaxed Ba2Tl7Pd crystal, computed with GGA-PBE.

The structure in CIF format:
```
data_Ba2Tl7Pd
_chemical_formula_sum 'Ba2 Tl7 Pd1'
_symmetry_space_group_name_H-M 'P -4 m 2'
_symmetry_Int_Tables_number 115
_symmetry_space_group_name_Hall 'P -4 -2'
_cell_length_a 5.147
_cell_length_b 5.147
_cell_length_c 12.355
_cell_angle_alpha 90.00
_cell_angle_beta 90.00
_cell_angle_gamma 90.00
loop_
_atom_site_label
_atom_site_type_symbol
_atom_site_fract_x
_atom_site_fract_y
_atom_site_fract_z
Ba1 Ba 0.000 0.500 0.231
Tl1 Tl 0.000 0.000 0.000
Tl2 Tl 0.000 0.000 0.500
Tl3 Tl 0.000 0.500 0.645
Tl4 Tl 0.000 0.500 0.886
Tl5 Tl 0.500 0.500 0.500
Pd1 Pd 0.500 0.500 0.000
```

---

# 3
A relaxed Ba4TlPd2 crystal, computed with GGA-PBE.

Results
Its polymorph energy (0 for the lowest one) is 3.1 kJ/mol of atoms.

The structure in CIF format:
```
data_Ba4TlPd2
_chemical_formula_sum 'Ba16 Tl4 Pd8'
_symmetry_space_group_name_H-M 'C m c m'
_symmetry_Int_Tables_number 63
_symmetry_space_group_name_Hall '-C 2c 2'
_cell_length_a 4.607
_cell_length_b 12.025
_cell_length_c 21.657
_cell_angle_alpha 90.00
_cell_angle_beta 90.00
_cell_angle_gamma 90.00
loop_
_atom_site_label
_atom_site_type_symbol
_atom_site_fract_x
_atom_site_fract_y
_atom_site_fract_z
Ba1 Ba 0.000 0.000 0.000
Ba2 Ba 0.000 0.273 0.122
Ba3 Ba 0.000 0.445 0.750
Tl1 Tl 0.000 0.157 0.750
Pd1 Pd 0.000 0.299 0.526
```

---

# 4
A relaxed BaTlPd crystal, computed with GGA-PBE.

The structure in CIF format:
```
data_BaTlPd
_chemical_formula_sum 'Ba2 Tl2 Pd2'
_symmetry_space_group_name_H-M 'I 4 m m'
_symmetry_Int_Tables_number 107
_symmetry_space_group_name_Hall 'I 4 -2'
_cell_length_a 3.780
_cell_length_b 3.780
_cell_length_c 11.918
_cell_angle_alpha 90.00
_cell_angle_beta 90.00
_cell_angle_gamma 90.00
loop_
_atom_site_label
_atom_site_type_symbol
_atom_site_fract_x
_atom_site_fract_y
_atom_site_fract_z
Ba1 Ba 0.000 0.000 0.000
Tl1 Tl 0.000 0.000 0.290
Pd1 Pd 0.000 0.000 0.687
```

---

# 5
A relaxed Ba3Tl4Pd2 crystal, computed with GGA-PBE.

Results
Its polymorph energy (0 for the lowest one) is 5.0 kJ/mol of atoms.

The structure in CIF format:
```
data_Ba3Tl4Pd2
_chemical_formula_sum 'Ba12 Tl16 Pd8'
_symmetry_space_group_name_H-M 'C 1 2/c 1'
_symmetry_Int_Tables_number 15
_symmetry_space_group_name_Hall '-C 2yc'
_cell_length_a 14.933
_cell_length_b 10.885
_cell_length_c 7.829
_cell_angle_alpha 90.00
_cell_angle_beta 109.05
_cell_angle_gamma 90.00
loop_
_atom_site_label
_atom_site_type_symbol
_atom_site_fract_x
_atom_site_fract_y
_atom_site_fract_z
Ba1 Ba 0.000 0.047 0.250
Ba2 Ba 0.132 0.397 0.157
Tl1 Tl 0.113 0.258 0.635
Tl2 Tl 0.191 0.105 0.054
Pd1 Pd 0.223 0.132 0.436
```

---

# 6
A relaxed BaTl3Pd2 crystal, computed with GGA-PBE.

Results
Its polymorph energy (0 for the lowest one) is 0.0 kJ/mol of atoms.

The structure in CIF format:
```
data_BaTl3Pd2
_chemical_formula_sum 'Ba6 Tl18 Pd12'
_symmetry_space_group_name_H-M 'C 1 2/m 1'
_symmetry_Int_Tables_number 12
_symmetry_space_group_name_Hall '-C 2y'
_cell_length_a 18.644
_cell_length_b 4.682
_cell_length_c 11.689
_cell_angle_alpha 90.00
_cell_angle_beta 109.96
_cell_angle_gamma 90.00
loop_
_atom_site_label
_atom_site_type_symbol
_atom_site_fract_x
_atom_site_fract_y
_atom_site_fract_z
Ba1 Ba 0.000 0.000 0.000
Ba2 Ba 0.159 0.000 0.707
Tl1 Tl 0.000 0.500 0.500
Tl2 Tl 0.042 0.000 0.344
Tl3 Tl 0.127 0.500 0.194
Tl4 Tl 0.172 0.500 0.956
Tl5 Tl 0.221 0.000 0.390
Pd1 Pd 0.023 0.500 0.782
Pd2 Pd 0.133 0.500 0.440
Pd3 Pd 0.200 0.000 0.127
```

---

# 7
A relaxed BaTl10Pd3 crystal, computed with GGA-PBE.

The structure in CIF format:
```
data_BaTl10Pd3
_chemical_formula_sum 'Ba8 Tl80 Pd24'
_symmetry_space_group_name_H-M 'F m -3 m'
_symmetry_Int_Tables_number 225
_symmetry_space_group_name_Hall '-F 4 2 3'
_cell_length_a 14.711
_cell_length_b 14.711
_cell_length_c 14.711
_cell_angle_alpha 90.00
_cell_angle_beta 90.00
_cell_angle_gamma 90.00
loop_
_atom_site_label
_atom_site_type_symbol
_atom_site_fract_x
_atom_site_fract_y
_atom_site_fract_z
Ba1 Ba 0.250 0.250 0.250
Tl1 Tl 0.000 0.169 0.169
Tl2 Tl 0.111 0.111 0.389
Pd1 Pd 0.000 0.000 0.265
```

---

# 8
A relaxed BaTlPd crystal, computed with GGA-PBE.

The structure in CIF format:
```
data_BaTlPd
_chemical_formula_sum 'Ba4 Tl4 Pd4'
_symmetry_space_group_name_H-M 'F -4 3 m'
_symmetry_Int_Tables_number 216
_symmetry_space_group_name_Hall 'F -4 2 3'
_cell_length_a 7.315
_cell_length_b 7.315
_cell_length_c 7.315
_cell_angle_alpha 90.00
_cell_angle_beta 90.00
_cell_angle_gamma 90.00
loop_
_atom_site_label
_atom_site_type_symbol
_atom_site_fract_x
_atom_site_fract_y
_atom_site_fract_z
Ba1 Ba 0.000 0.000 0.000
Tl1 Tl 0.000 0.000 0.500
Pd1 Pd 0.250 0.250 0.750
```

---

# 9
A relaxed Ba5Tl4Pd crystal, computed with GGA-PBE.

The structure in CIF format:
```
data_Ba5Tl4Pd
_chemical_formula_sum 'Ba5 Tl4 Pd1'
_symmetry_space_group_name_H-M 'P 4/m m m'
_symmetry_Int_Tables_number 123
_symmetry_space_group_name_Hall '-P 4 2'
_cell_length_a 4.212
_cell_length_b 4.212
_cell_length_c 21.127
_cell_angle_alpha 90.00
_cell_angle_beta 90.00
_cell_angle_gamma 90.00
loop_
_atom_site_label
_atom_site_type_symbol
_atom_site_fract_x
_atom_site_fract_y
_atom_site_fract_z
Ba1 Ba 0.000 0.000 0.000
Ba2 Ba 0.000 0.000 0.206
Ba3 Ba 0.000 0.000 0.413
Tl1 Tl 0.500 0.500 0.106
Tl2 Tl 0.500 0.500 0.307
Pd1 Pd 0.500 0.500 0.500
```

---

# 10
A relaxed BaTl6Pd6 crystal, computed with GGA-PBE.

The structure in CIF format:
```
data_BaTl6Pd6
_chemical_formula_sum 'Ba2 Tl12 Pd12'
_symmetry_space_group_name_H-M 'I m m m'
_symmetry_Int_Tables_number 71
_symmetry_space_group_name_Hall '-I 2 2'
_cell_length_a 5.788
_cell_length_b 9.622
_cell_length_c 10.090
_cell_angle_alpha 90.00
_cell_angle_beta 90.00
_cell_angle_gamma 90.00
loop_
_atom_site_label
_atom_site_type_symbol
_atom_site_fract_x
_atom_site_fract_y
_atom_site_fract_z
Ba1 Ba 0.000 0.000 0.000
Tl1 Tl 0.000 0.000 0.345
Tl2 Tl 0.000 0.341 0.000
Tl3 Tl 0.000 0.500 0.318
Pd1 Pd 0.000 0.263 0.500
Pd2 Pd 0.250 0.250 0.250
```

---

Number 1: M_tot 0.00 μB per cell, energy of formation -0.3098 eV per atom. Number 2: M_tot 0.00 μB per cell, energy of formation -0.2298 eV per atom. Number 3: M_tot 0.00 μB per cell, energy of formation -0.3269 eV per atom. Number 4: M_tot 0.00 μB per cell, energy of formation -0.3414 eV per atom. Number 5: M_tot 0.00 μB per cell, energy of formation -0.3666 eV per atom. Number 6: M_tot 0.00 μB per cell, energy of formation -0.3242 eV per atom. Number 7: M_tot 0.00 μB per cell, energy of formation -0.1191 eV per atom. Number 8: M_tot 0.00 μB per cell, energy of formation -0.3520 eV per atom. Number 9: M_tot 0.00 μB per cell, energy of formation -0.4035 eV per atom. Number 10: M_tot 0.00 μB per cell, energy of formation -0.2531 eV per atom.